# Li3WO PBE+U optimized geometry
data_Li3WO
_cell_length_a 4.1168
_cell_length_b 4.1168
_cell_length_c 4.1168
_cell_angle_alpha 90.00
_cell_angle_beta 90.00
_cell_angle_gamma 90.00
_space_group_name_H-M_alt 'P 1'
_space_group_IT_number 1
loop_
_space_group_symop_operation_xyz
'x,y,z'
loop_
_atom_site_label
_atom_site_type_symbol
_atom_site_fract_x
_atom_site_fract_y
_atom_site_fract_z
_atom_site_occupancy
O1 O 0.0000 0.0000 0.0000 1
W1 W 0.5000 0.5000 0.5000 1
Li1 Li 0.0000 0.5000 0.0000 1
Li2 Li 0.5000 0.0000 0.0000 1
Li3 Li 0.0000 0.0000 0.5000 1
# Space group = No. 221
# VASP energy = -19.180 eV for the cell shown
# Magnetic moment = 5.000 μB per formula unit
# Calculated volume = 69.8 Å³/cell
# Crystal system = cubic